1.
! PBE LaPr9Tl2, optimized geometry; values from VASP
&SYSTEM
  ibrav = 0, nat = 12, ntyp = 3
/
ATOMIC_SPECIES
Pr 140.91 Pr.upf
Tl 204.38 Tl.upf
La 138.91 La.upf
ATOMIC_POSITIONS crystal
Pr 0.000 0.500 0.176
Pr 0.500 0.000 0.500
Pr 0.500 0.000 0.176
Pr 0.500 0.500 0.340
Pr 0.000 0.500 0.500
Pr 0.500 0.000 0.824
Pr 0.500 0.500 0.000
Pr 0.000 0.500 0.824
Pr 0.500 0.500 0.660
Tl 0.000 0.000 0.661
Tl 0.000 0.000 0.339
La 0.000 0.000 0.000
CELL_PARAMETERS angstrom
-3.449 -0.254 -3.691
-3.630 -0.742 3.443
-2.212 15.468 1.001
! ΔH_f (0 K) ... -0.1249 eV per atom
! Magnetic moment ... 0.00 μB/f.u.
! Volume ... 33.4 A^3/atom
! Density of states at the Fermi level ... 1.280 states/eV per atom

---

2.
! PBE LiTb2ScSe4, optimized geometry; values from VASP
&SYSTEM
  ibrav = 0, nat = 8, ntyp = 4
/
ATOMIC_SPECIES
Se 78.96 Se.upf
Li 6.94 Li.upf
Tb 158.93 Tb.upf
Sc 44.96 Sc.upf
ATOMIC_POSITIONS crystal
Se 0.500 0.754 0.768
Se 0.000 0.745 0.234
Se 0.000 0.255 0.766
Se 0.500 0.246 0.232
Li 0.500 0.500 0.000
Tb 0.000 0.500 0.500
Tb 0.500 0.000 0.500
Sc 0.000 0.000 0.000
CELL_PARAMETERS angstrom
3.996 0.000 0.000
0.000 6.955 0.140
0.000 -2.412 6.433
! Magnetic moment ... 0.00 μB/f.u.
! Volume ... 22.5 A^3/atom
! Density of states at the Fermi level ... 0.376 states/eV per atom
! Raw formation energy ... -1.70 eV per atom

---

3.
! PBE LiDy4Pd2, optimized geometry; values from VASP
&SYSTEM
  ibrav = 0, nat = 14, ntyp = 3
/
ATOMIC_SPECIES
Li 6.94 Li.upf
Dy 162.50 Dy.upf
Pd 106.42 Pd.upf
ATOMIC_POSITIONS crystal
Li 0.928 0.977 0.917
Li 0.469 0.809 0.585
Dy 0.913 0.556 0.605
Dy 0.429 0.057 0.268
Dy 0.197 0.140 0.748
Dy 0.964 0.542 0.234
Dy 0.478 0.700 0.895
Dy 0.949 0.058 0.290
Dy 0.441 0.516 0.209
Dy 0.698 0.274 0.751
Pd 0.614 0.169 0.025
Pd 0.078 0.650 0.991
Pd 0.778 0.892 0.473
Pd 0.314 0.408 0.510
CELL_PARAMETERS angstrom
-1.053 3.625 -5.784
1.996 -5.434 -3.763
-7.217 -1.584 4.814
! ΔH_f (0 K) ... -0.4736 eV per atom
! Magnetic moment ... 0.00 μB/f.u.
! Volume ... 24.5 A^3/atom
! Density of states at the Fermi level ... 0.861 states/eV per atom